VASP calculation (PBE with a Hubbard U) on CrCuF2 after structural relaxation.

Lattice parameters (Å, degrees): 2.8274 2.8274 26.3913 90.00 90.00 120.00
Closest atoms and distances in Å follow each position.
Space group R-3m (No. 166, hexagonal axes)
One atom of each set of equivalent atoms:
Cr 0.0000 0.0000 0.0000 [3 per cell]  6 F 2.04
Cu 0.0000 0.0000 0.5000 [3 per cell]  6 Cu 2.83
F 0.0000 0.0000 0.3795 [6 per cell]  3 Cr 2.04

Summary:
VASP energy = -4.8022 eV/atom
ΔE to the lowest computed polymorph = 0.52 eV/f.u.
Total magnetic moment = 2.0 μB/f.u.